Crystalline LaDy7Y3 at its relaxed geometry, computed with PBE.

Cell and atoms, written as POSCAR:
```
LaDy7Y3
1.0
7.075 0.000 0.000
-3.537 6.127 0.000
0.000 0.000 8.669
La Dy Y
1 7 3
Direct
0.000 0.000 0.000 La
0.003 0.501 0.006 Dy
0.331 0.166 0.674 Dy
0.333 0.667 0.678 Dy
0.499 0.501 0.006 Dy
0.499 0.997 0.006 Dy
0.834 0.166 0.674 Dy
0.834 0.669 0.674 Dy
0.168 0.335 0.343 Y
0.168 0.832 0.343 Y
0.665 0.832 0.343 Y
```

Space-group type: P3m1 (156)

Crystalline LaDy3Y12 at its relaxed geometry, computed with PBE.

Cell and atoms, written as POSCAR:
```
LaDy3Y12
1.0
5.059 0.000 0.000
0.000 5.059 0.000
0.000 0.000 20.266
La Dy Y
1 3 12
Direct
0.000 0.000 0.000 La
0.000 0.000 0.251 Dy
0.000 0.000 0.500 Dy
0.000 0.000 0.749 Dy
0.000 0.500 0.128 Y
0.000 0.500 0.376 Y
0.000 0.500 0.624 Y
0.000 0.500 0.872 Y
0.500 0.000 0.128 Y
0.500 0.000 0.376 Y
0.500 0.000 0.624 Y
0.500 0.000 0.872 Y
0.500 0.500 0.000 Y
0.500 0.500 0.253 Y
0.500 0.500 0.500 Y
0.500 0.500 0.747 Y
```

Space-group type: P4/mmm (123)

Crystalline LaDy8Y2 at its relaxed geometry, computed with PBE.

Cell and atoms, written as POSCAR:
```
LaDy8Y2
1.0
-2.768 4.078 7.978
2.768 -4.078 7.978
2.768 4.078 -7.978
La Dy Y
1 8 2
Direct
0.000 0.000 0.000 La
0.155 0.861 0.295 Dy
0.164 0.664 0.500 Dy
0.296 0.500 0.796 Dy
0.434 0.139 0.295 Dy
0.566 0.861 0.705 Dy
0.704 0.500 0.204 Dy
0.836 0.336 0.500 Dy
0.845 0.139 0.705 Dy
0.300 0.300 0.000 Y
0.700 0.700 0.000 Y
```

Space-group type: Immm (71)

Crystalline La2DyY at its relaxed geometry, computed with PBE.

Cell and atoms, written as POSCAR:
```
La2DyY
1.0
3.714 0.000 0.000
0.000 3.714 0.000
0.000 0.000 9.991
La Dy Y
2 1 1
Direct
0.000 0.000 0.248 La
0.000 0.000 0.752 La
0.500 0.500 0.000 Dy
0.500 0.500 0.500 Y
```

Space-group type: P4/mmm (123)

Crystalline La5Dy2Y2 at its relaxed geometry, computed with PBE.

Cell and atoms, written as POSCAR:
```
La5Dy2Y2
1.0
6.309 0.000 0.000
3.143 5.490 0.000
3.098 1.830 9.006
La Dy Y
5 2 2
Direct
0.000 0.000 0.000 La
0.110 0.442 0.667 La
0.445 0.780 0.667 La
0.555 0.220 0.333 La
0.890 0.558 0.333 La
0.222 0.891 0.332 Dy
0.778 0.109 0.668 Dy
0.334 0.330 0.000 Y
0.666 0.670 0.000 Y
```

Space-group type: P-1 (2)

Crystalline La2Dy7Y2 at its relaxed geometry, computed with PBE.

Cell and atoms, written as POSCAR:
```
La2Dy7Y2
1.0
-1.807 5.827 8.712
1.807 -5.827 8.712
1.807 5.827 -8.712
La Dy Y
2 7 2
Direct
0.224 0.000 0.224 La
0.776 0.000 0.776 La
0.079 0.331 0.748 Dy
0.124 0.124 0.000 Dy
0.417 0.669 0.748 Dy
0.500 0.500 0.000 Dy
0.583 0.331 0.252 Dy
0.876 0.876 0.000 Dy
0.921 0.669 0.252 Dy
0.303 0.803 0.500 Y
0.697 0.197 0.500 Y
```

Space-group type: Immm (71)

Crystalline La4Dy11Y9 at its relaxed geometry, computed with PBE.

Cell and atoms, written as POSCAR:
```
La4Dy11Y9
1.0
8.221 -13.285 0.000
8.221 13.285 0.000
0.000 0.000 3.628
La Dy Y
4 11 9
Direct
0.082 0.257 0.000 La
0.257 0.082 0.000 La
0.743 0.918 0.000 La
0.918 0.743 0.000 La
0.095 0.468 0.500 Dy
0.125 0.875 0.500 Dy
0.290 0.290 0.500 Dy
0.313 0.687 0.500 Dy
0.468 0.095 0.500 Dy
0.500 0.500 0.500 Dy
0.532 0.905 0.500 Dy
0.687 0.313 0.500 Dy
0.710 0.710 0.500 Dy
0.875 0.125 0.500 Dy
0.905 0.532 0.500 Dy
0.000 0.000 0.000 Y
0.113 0.673 0.000 Y
0.297 0.485 0.000 Y
0.327 0.887 0.000 Y
0.485 0.297 0.000 Y
0.515 0.703 0.000 Y
0.673 0.113 0.000 Y
0.703 0.515 0.000 Y
0.887 0.327 0.000 Y
```

Space-group type: Cmmm (65)

Crystalline La4Dy5Y2 at its relaxed geometry, computed with PBE.

Cell and atoms, written as POSCAR:
```
La4Dy5Y2
1.0
-1.740 2.820 18.958
1.740 -2.820 18.958
1.740 2.820 -18.958
La Dy Y
4 5 2
Direct
0.044 0.044 0.000 La
0.321 0.321 0.000 La
0.679 0.679 0.000 La
0.956 0.956 0.000 La
0.137 0.137 0.000 Dy
0.409 0.909 0.500 Dy
0.500 0.500 0.000 Dy
0.591 0.091 0.500 Dy
0.863 0.863 0.000 Dy
0.228 0.228 0.000 Y
0.772 0.772 0.000 Y
```

Space-group type: Immm (71)

| no. | E_form (eV/atom) |
| --- | --- |
| 1 | 0.20 |
| 2 | 0.03 |
| 3 | 0.12 |
| 4 | 0.02 |
| 5 | 0.03 |
| 6 | 0.13 |
| 7 | 0.05 |
| 8 | 0.14 |